Crystalline Li2Ag6Pd at its relaxed geometry, computed with PBE-GGA.

abc: 9.644 7.833 4.757
angles: 90.00 119.22 90.00
Space group C2/m (No. 12)
Inequivalent atoms, fractional coordinates:
Li1 0.183 0.000 0.182 [4 per cell]
Ag1 0.000 0.313 0.000 [4 per cell]
Ag2 0.166 0.183 0.666 [8 per cell]
Pd1 0.000 0.500 0.500 [2 per cell]

Calculated values
Total DFT energy (no corrections) (eV/atom): -2.98
Calculated volume (Å³ per atom): 17.4
Polymorph energy (0 for the lowest one) (eV/atom): 0.083
Crystal system: monoclinic
ΔH_f (0 K) (eV/atom): -0.072